DFT (GGA-PBE) results for a geometry-optimized LaPm2IO8 structure.

Cell lengths 5.1515, 5.1515, 7.1622 Å; angles 90.00, 90.00, 90.18 degrees
Fractional positions:
La (0.0000, 0.0000, 0.0000)
Pm (0.5000, 0.5000, 0.2528)
Pm (0.5000, 0.5000, 0.7472)
I (0.0000, 0.0000, 0.5000)
O (0.1791, 0.8209, 0.3037)
O (0.1791, 0.8209, 0.6963)
O (0.2614, 0.2614, 0.5000)
O (0.3132, 0.3132, 0.0000)
O (0.6868, 0.6868, 0.0000)
O (0.7386, 0.7386, 0.5000)
O (0.8209, 0.1791, 0.3037)
O (0.8209, 0.1791, 0.6963)

## Properties
DFT total energy	-6.91	eV/atom

---

DFT (GGA-PBE) results for a geometry-optimized Dy4AlHg3 structure.

Cell lengths 3.6759, 3.6759, 14.9203 Å; angles 90.00, 90.00, 90.00 degrees
Fractional positions:
Dy (0.0000, 0.0000, 0.1192)
Dy (0.0000, 0.0000, 0.3730)
Dy (0.0000, 0.0000, 0.6270)
Dy (0.0000, 0.0000, 0.8808)
Al (0.5000, 0.5000, 0.0000)
Hg (0.5000, 0.5000, 0.2450)
Hg (0.5000, 0.5000, 0.5000)
Hg (0.5000, 0.5000, 0.7550)

## Properties
DFT total energy	-3.34	eV/atom

---

DFT (GGA-PBE) results for a geometry-optimized Na2YTe structure.

Cell lengths 7.4073, 7.4073, 7.4073 Å; angles 99.51, 99.51, 132.04 degrees
Fractional positions:
Na (0.0712, 0.1250, 0.4462)
Na (0.3750, 0.9288, 0.0538)
Na (0.6788, 0.6250, 0.5538)
Na (0.8750, 0.3212, 0.9462)
Y (0.2500, 0.7500, 0.5000)
Y (0.5000, 0.5000, 0.0000)
Te (0.0000, 0.0000, 0.0000)
Te (0.7500, 0.2500, 0.5000)

## Properties
DFT total energy	-3.32	eV/atom

---

DFT (GGA-PBE) results for a geometry-optimized LiTl structure.

Cell lengths 7.8214, 7.8214, 7.8214 Å; angles 92.54, 92.54, 155.68 degrees
Fractional positions:
Li (0.0900, 0.3595, 0.4495)
Li (0.3595, 0.9100, 0.2695)
Li (0.6405, 0.0900, 0.7305)
Li (0.9100, 0.6405, 0.5505)
Tl (0.1073, 0.8221, 0.9294)
Tl (0.1779, 0.1073, 0.2852)
Tl (0.8221, 0.8927, 0.7148)
Tl (0.8927, 0.1779, 0.0706)

## Properties
DFT total energy	-2.19	eV/atom

---

DFT (GGA-PBE) results for a geometry-optimized Ba8Ga2Pd structure.

Cell lengths 11.0094, 11.0094, 8.0043 Å; angles 104.37, 104.37, 30.36 degrees
Fractional positions:
Ba (0.0371, 0.0371, 0.3063)
Ba (0.2113, 0.2113, 0.8153)
Ba (0.3373, 0.3373, 0.5401)
Ba (0.4069, 0.4069, 0.0778)
Ba (0.5931, 0.5931, 0.9222)
Ba (0.6627, 0.6627, 0.4599)
Ba (0.7887, 0.7887, 0.1847)
Ba (0.9629, 0.9629, 0.6937)
Ga (0.1878, 0.1878, 0.2185)
Ga (0.8122, 0.8122, 0.7815)
Pd (0.5000, 0.5000, 0.5000)

## Properties
DFT total energy	-2.63	eV/atom

---

DFT (GGA-PBE) results for a geometry-optimized La12TbNd6 structure.

Cell lengths 8.8628, 8.8628, 8.8628 Å; angles 89.21, 89.21, 89.21 degrees
Fractional positions:
La (0.0188, 0.3612, 0.1919)
La (0.1919, 0.0188, 0.3612)
La (0.2179, 0.5682, 0.4649)
La (0.3612, 0.1919, 0.0188)
La (0.4318, 0.5351, 0.7821)
La (0.4649, 0.2179, 0.5682)
La (0.5351, 0.7821, 0.4318)
La (0.5682, 0.4649, 0.2179)
La (0.6388, 0.8081, 0.9812)
La (0.7821, 0.4318, 0.5351)
La (0.8081, 0.9812, 0.6388)
La (0.9812, 0.6388, 0.8081)
Tb (0.0000, 0.0000, 0.0000)
Nd (0.0974, 0.2616, 0.7025)
Nd (0.2616, 0.7025, 0.0974)
Nd (0.2975, 0.9026, 0.7384)
Nd (0.7025, 0.0974, 0.2616)
Nd (0.7384, 0.2975, 0.9026)
Nd (0.9026, 0.7384, 0.2975)

## Properties
DFT total energy	-4.76	eV/atom

---

DFT (GGA-PBE) results for a geometry-optimized CuAg2Cl structure.

Cell lengths 3.0903, 3.0903, 7.7162 Å; angles 90.00, 90.00, 104.36 degrees
Fractional positions:
Cu (0.0000, 0.0000, 0.0000)
Ag (0.0000, 0.0000, 0.5041)
Ag (0.5000, 0.5000, 0.2392)
Cl (0.5000, 0.5000, 0.8057)

## Properties
DFT total energy	-2.87	eV/atom

---

DFT (GGA-PBE) results for a geometry-optimized NaCeP2O6 structure.

Cell lengths 6.6397, 6.6397, 7.8650 Å; angles 102.17, 102.17, 115.95 degrees
Fractional positions:
Na (0.1224, 0.8776, 0.7500)
Na (0.8776, 0.1224, 0.2500)
Ce (0.2853, 0.7147, 0.2500)
Ce (0.7147, 0.2853, 0.7500)
P (0.2470, 0.4309, 0.7520)
P (0.4309, 0.2470, 0.2520)
P (0.5691, 0.7530, 0.7480)
P (0.7530, 0.5691, 0.2480)
O (0.0191, 0.3148, 0.5820)
O (0.1709, 0.5079, 0.9179)
O (0.2660, 0.3495, 0.2733)
O (0.3148, 0.0191, 0.0820)
O (0.3495, 0.2660, 0.7733)
O (0.4921, 0.8291, 0.5821)
O (0.5079, 0.1709, 0.4179)
O (0.6505, 0.7340, 0.2267)
O (0.6852, 0.9809, 0.9180)
O (0.7340, 0.6505, 0.7267)
O (0.8291, 0.4921, 0.0821)
O (0.9809, 0.6852, 0.4180)

## Properties
DFT total energy	-7.26	eV/atom

---

Question: Among the records above, which one has the highest DFT total energy?
Answer: LiTl

---

Question: Which of these has the lowest DFT total energy?
Answer: NaCeP2O6

---

Question: What is the DFT total energy in the sixth record?
Answer: -4.76 eV/atom

---

Repeat the first record exactly.
DFT (GGA-PBE) results for a geometry-optimized LaPm2IO8 structure.

Cell lengths 5.1515, 5.1515, 7.1622 Å; angles 90.00, 90.00, 90.18 degrees
Fractional positions:
La (0.0000, 0.0000, 0.0000)
Pm (0.5000, 0.5000, 0.2528)
Pm (0.5000, 0.5000, 0.7472)
I (0.0000, 0.0000, 0.5000)
O (0.1791, 0.8209, 0.3037)
O (0.1791, 0.8209, 0.6963)
O (0.2614, 0.2614, 0.5000)
O (0.3132, 0.3132, 0.0000)
O (0.6868, 0.6868, 0.0000)
O (0.7386, 0.7386, 0.5000)
O (0.8209, 0.1791, 0.3037)
O (0.8209, 0.1791, 0.6963)

## Properties
DFT total energy	-6.91	eV/atom